(1)
SrTl2O4 after structural relaxation, computed with PBEsol.

Geometry as POSCAR:
```
SrTl2O4
1.0
10.024 0.000 0.000
0.000 3.423 0.000
0.000 0.000 11.760
Sr Tl O
4 8 16
direct
0.246 0.250 0.152 Sr
0.254 0.750 0.652 Sr
0.746 0.250 0.348 Sr
0.754 0.750 0.848 Sr
0.077 0.250 0.391 Tl
0.079 0.250 0.892 Tl
0.421 0.750 0.392 Tl
0.423 0.750 0.891 Tl
0.577 0.250 0.109 Tl
0.579 0.250 0.608 Tl
0.921 0.750 0.108 Tl
0.923 0.750 0.609 Tl
0.019 0.750 0.780 O
0.087 0.250 0.575 O
0.126 0.750 0.024 O
0.211 0.750 0.320 O
0.289 0.250 0.820 O
0.374 0.250 0.524 O
0.413 0.750 0.075 O
0.481 0.250 0.280 O
0.519 0.750 0.720 O
0.587 0.250 0.925 O
0.626 0.750 0.476 O
0.711 0.750 0.180 O
0.789 0.250 0.680 O
0.874 0.250 0.976 O
0.913 0.750 0.425 O
0.981 0.250 0.220 O
```

Summary:
**Calculated total energy**: -5.3792 eV/atom
**Theoretical density**: 9.2 g/cm³
**E_form (uncorrected)**: -1.365 eV per atom
**SG**: No. 62

---

(2)
KTi2F after structural relaxation, computed with PBEsol.

Geometry as POSCAR:
```
KTi2F
1.0
0.000 4.584 4.584
4.584 0.000 4.584
4.584 4.584 0.000
K Ti F
2 4 2
direct
0.125 0.125 0.125 K
0.875 0.875 0.875 K
0.000 0.500 0.500 Ti
0.500 0.000 0.500 Ti
0.500 0.500 0.000 Ti
0.500 0.500 0.500 Ti
0.375 0.375 0.375 F
0.625 0.625 0.625 F
```

Summary:
**Calculated total energy**: -4.9852 eV/atom
**Theoretical density**: 2.7 g/cm³
**E_form (uncorrected)**: -0.059 eV per atom
**SG**: No. 227

---

(3)
BaTcHOs2 after structural relaxation, computed with PBEsol.

Geometry as POSCAR:
```
BaTcHOs2
1.0
5.049 0.000 0.000
0.000 5.049 0.000
0.000 0.000 3.270
Ba Tc H Os
1 1 1 2
direct
0.000 0.000 0.000 Ba
0.500 0.500 0.500 Tc
0.000 0.000 0.500 H
0.000 0.500 0.000 Os
0.500 0.000 0.000 Os
```

Summary:
**Calculated total energy**: -5.4985 eV/atom
**Theoretical density**: 12.3 g/cm³
**SG**: No. 123

---

(4)
Al2SeCl after structural relaxation, computed with PBEsol.

Geometry as POSCAR:
```
Al2SeCl
1.0
3.510 0.000 0.000
0.000 5.712 0.000
0.000 0.000 8.745
Al Se Cl
4 2 2
direct
0.000 0.000 0.000 Al
0.000 0.500 0.238 Al
0.500 0.000 0.238 Al
0.500 0.500 0.000 Al
0.000 0.000 0.420 Se
0.500 0.500 0.420 Se
0.000 0.500 0.808 Cl
0.500 0.000 0.808 Cl
```

Summary:
**Calculated total energy**: -3.9082 eV/atom
**Theoretical density**: 3.2 g/cm³
**Relative energy among the computed polymorphs**: 0 meV/atom
**E_form (uncorrected)**: -0.398 eV per atom
**SG**: No. 35

---

(5)
MgFe2As after structural relaxation, computed with PBEsol.

Geometry as POSCAR:
```
MgFe2As
1.0
2.786 0.000 0.000
0.000 4.104 0.000
-0.488 0.000 4.900
Mg Fe As
1 2 1
direct
0.000 0.000 0.000 Mg
0.397 0.500 0.749 Fe
0.603 0.500 0.251 Fe
0.500 0.000 0.500 As
```

Summary:
**Calculated total energy**: -6.0481 eV/atom
**Theoretical density**: 6.3 g/cm³
**DFT formation energy**: 0.140 eV per atom
**SG**: No. 10

---

(6)
KSr2W after structural relaxation, computed with PBEsol.

Geometry as POSCAR:
```
KSr2W
1.0
4.230 0.000 0.000
0.000 4.230 0.000
0.000 0.000 9.281
K Sr W
1 2 1
direct
0.000 0.000 0.000 K
0.000 0.000 0.622 Sr
0.500 0.500 0.362 Sr
0.500 0.500 0.725 W
```

Summary:
**Calculated total energy**: -3.2995 eV/atom
**Theoretical density**: 4.0 g/cm³
**Relative energy among the computed polymorphs**: 335 meV/atom
**DFT formation energy**: 1.356 eV per atom
**SG**: No. 99

---

(7)
NdMgNi4H7 after structural relaxation, computed with PBEsol.

Geometry as POSCAR:
```
NdMgNi4H7
1.0
0.000 3.785 3.785
3.785 0.000 3.785
3.785 3.785 0.000
Nd Mg Ni H
1 1 4 7
direct
0.000 0.000 0.000 Nd
0.250 0.250 0.250 Mg
0.130 0.623 0.623 Ni
0.623 0.130 0.623 Ni
0.623 0.623 0.130 Ni
0.623 0.623 0.623 Ni
0.500 0.500 0.500 H
0.510 0.510 0.990 H
0.510 0.990 0.510 H
0.510 0.990 0.990 H
0.990 0.510 0.510 H
0.990 0.510 0.990 H
0.990 0.990 0.510 H
```

Summary:
**Calculated total energy**: -4.4838 eV/atom
**Theoretical density**: 6.3 g/cm³
**SG**: No. 216

---

(8)
BaAlN2 after structural relaxation, computed with PBEsol.

Geometry as POSCAR:
```
BaAlN2
1.0
4.129 0.000 0.000
-2.065 3.576 0.000
0.000 0.000 18.723
Ba Al N
3 3 6
direct
0.000 0.000 0.000 Ba
0.333 0.667 0.667 Ba
0.667 0.333 0.333 Ba
0.000 0.000 0.500 Al
0.333 0.667 0.167 Al
0.667 0.333 0.833 Al
0.000 0.000 0.406 N
0.000 0.000 0.594 N
0.333 0.667 0.073 N
0.333 0.667 0.260 N
0.667 0.333 0.740 N
0.667 0.333 0.927 N
```

Summary:
**Calculated total energy**: -5.7956 eV/atom
**Theoretical density**: 3.5 g/cm³
**E_form (uncorrected)**: 0.028 eV per atom
**SG**: No. 166

---

(9)
CSe2F after structural relaxation, computed with PBEsol.

Geometry as POSCAR:
```
CSe2F
1.0
5.896 0.000 0.000
0.000 5.896 0.000
0.000 0.000 5.896
C Se F
4 8 4
direct
0.000 0.000 0.000 C
0.000 0.500 0.500 C
0.500 0.000 0.500 C
0.500 0.500 0.000 C
0.250 0.250 0.250 Se
0.250 0.250 0.750 Se
0.250 0.750 0.250 Se
0.250 0.750 0.750 Se
0.750 0.250 0.250 Se
0.750 0.250 0.750 Se
0.750 0.750 0.250 Se
0.750 0.750 0.750 Se
0.000 0.000 0.500 F
0.000 0.500 0.000 F
0.500 0.000 0.000 F
0.500 0.500 0.500 F
```

Summary:
**Calculated total energy**: -3.7667 eV/atom
**Theoretical density**: 6.1 g/cm³
**E_form (uncorrected)**: 1.051 eV per atom
**SG**: No. 225

---

(10)
SrZr2Hg after structural relaxation, computed with PBEsol.

Geometry as POSCAR:
```
SrZr2Hg
1.0
4.570 0.000 0.000
0.000 4.570 0.000
0.000 0.000 9.236
Sr Zr Hg
2 4 2
direct
0.000 0.000 0.000 Sr
0.500 0.500 0.500 Sr
0.000 0.000 0.500 Zr
0.000 0.500 0.250 Zr
0.500 0.000 0.750 Zr
0.500 0.500 0.000 Zr
0.000 0.500 0.750 Hg
0.500 0.000 0.250 Hg
```

Summary:
**Calculated total energy**: -4.8866 eV/atom
**Theoretical density**: 8.1 g/cm³
**DFT formation energy**: 0.260 eV per atom
**SG**: No. 119

---

(11)
Tb2CdPd2 after structural relaxation, computed with PBEsol.

Geometry as POSCAR:
```
Tb2CdPd2
1.0
7.580 0.000 0.000
0.000 7.580 0.000
0.000 0.000 3.688
Tb Cd Pd
4 2 4
direct
0.172 0.328 0.000 Tb
0.328 0.828 0.000 Tb
0.672 0.172 0.000 Tb
0.828 0.672 0.000 Tb
0.000 0.000 0.500 Cd
0.500 0.500 0.500 Cd
0.129 0.629 0.500 Pd
0.371 0.129 0.500 Pd
0.629 0.871 0.500 Pd
0.871 0.371 0.500 Pd
```

Summary:
**Calculated total energy**: -5.4157 eV/atom
**Theoretical density**: 10.1 g/cm³
**DFT formation energy**: -0.789 eV per atom
**SG**: No. 127

---

(12)
Nb2InGeI after structural relaxation, computed with PBEsol.

Geometry as POSCAR:
```
Nb2InGeI
1.0
4.902 0.000 0.000
0.000 4.902 0.000
0.000 0.000 5.294
Nb In Ge I
2 1 1 1
direct
0.000 0.500 0.000 Nb
0.500 0.000 0.000 Nb
0.000 0.000 0.500 In
0.500 0.500 0.000 Ge
0.500 0.500 0.500 I
```

Summary:
**Calculated total energy**: -5.0636 eV/atom
**Theoretical density**: 6.5 g/cm³
**E_form (uncorrected)**: 1.203 eV per atom
**SG**: No. 123

---

(13)
Zr2Ni3P3 after structural relaxation, computed with PBEsol.

Geometry as POSCAR:
```
Zr2Ni3P3
1.0
12.217 0.000 0.000
0.000 3.594 0.000
0.000 0.000 9.925
Zr Ni P
8 12 12
direct
0.004 0.250 0.162 Zr
0.208 0.750 0.574 Zr
0.292 0.250 0.074 Zr
0.496 0.750 0.662 Zr
0.504 0.250 0.338 Zr
0.708 0.750 0.926 Zr
0.792 0.250 0.426 Zr
0.996 0.750 0.838 Zr
0.017 0.250 0.597 Ni
0.165 0.750 0.274 Ni
0.219 0.750 0.865 Ni
0.281 0.250 0.365 Ni
0.335 0.250 0.774 Ni
0.483 0.750 0.097 Ni
0.517 0.250 0.903 Ni
0.665 0.750 0.226 Ni
0.719 0.750 0.635 Ni
0.781 0.250 0.135 Ni
0.835 0.250 0.726 Ni
0.983 0.750 0.403 Ni
0.101 0.250 0.397 P
0.129 0.750 0.054 P
0.145 0.250 0.764 P
0.355 0.750 0.264 P
0.371 0.250 0.554 P
0.399 0.750 0.897 P
0.601 0.250 0.103 P
0.629 0.750 0.446 P
0.645 0.250 0.736 P
0.855 0.750 0.236 P
0.871 0.250 0.946 P
0.899 0.750 0.603 P
```

Summary:
**Calculated total energy**: -7.8947 eV/atom
**Theoretical density**: 6.9 g/cm³
**DFT formation energy**: -1.141 eV per atom
**SG**: No. 62

---

(14)
K4ZnO3 after structural relaxation, computed with PBEsol.

Geometry as POSCAR:
```
K4ZnO3
1.0
6.875 0.000 0.000
2.992 8.303 0.000
0.175 2.464 10.693
K Zn O
16 4 12
direct
0.005 0.473 0.199 K
0.121 0.907 0.668 K
0.134 0.083 0.883 K
0.191 0.355 0.579 K
0.278 0.656 0.982 K
0.341 0.123 0.378 K
0.388 0.864 0.206 K
0.482 0.554 0.704 K
0.518 0.446 0.296 K
0.612 0.136 0.794 K
0.659 0.877 0.622 K
0.722 0.344 0.018 K
0.809 0.645 0.421 K
0.866 0.917 0.117 K
0.879 0.093 0.332 K
0.995 0.527 0.801 K
0.211 0.721 0.442 Zn
0.335 0.231 0.061 Zn
0.665 0.769 0.939 Zn
0.789 0.279 0.558 Zn
0.062 0.674 0.585 O
0.106 0.158 0.107 O
0.134 0.691 0.286 O
0.361 0.362 0.903 O
0.422 0.805 0.467 O
0.443 0.830 0.816 O
0.557 0.170 0.184 O
0.578 0.195 0.533 O
0.639 0.638 0.097 O
0.866 0.309 0.714 O
0.894 0.842 0.893 O
0.938 0.326 0.415 O
```

Summary:
**Calculated total energy**: -3.9832 eV/atom
**Theoretical density**: 2.9 g/cm³
**E_form (uncorrected)**: -1.250 eV per atom
**SG**: No. 2

---

(15)
HfCoP2I after structural relaxation, computed with PBEsol.

Geometry as POSCAR:
```
HfCoP2I
1.0
4.885 0.000 0.000
0.000 4.885 0.000
0.000 0.000 4.986
Hf Co P I
1 1 2 1
direct
0.000 0.000 0.000 Hf
0.000 0.000 0.500 Co
0.000 0.500 0.000 P
0.500 0.000 0.000 P
0.500 0.500 0.500 I
```

Summary:
**Calculated total energy**: -5.4043 eV/atom
**Theoretical density**: 5.9 g/cm³
**E_form (uncorrected)**: 0.914 eV per atom
**SG**: No. 123

---

(16)
TlIr3C after structural relaxation, computed with PBEsol.

Geometry as POSCAR:
```
TlIr3C
1.0
4.144 0.000 0.000
0.000 4.144 0.000
0.000 0.000 4.144
Tl Ir C
1 3 1
direct
0.000 0.000 0.000 Tl
0.000 0.500 0.500 Ir
0.500 0.000 0.500 Ir
0.500 0.500 0.000 Ir
0.500 0.500 0.500 C
```

Summary:
**Calculated total energy**: -7.7738 eV/atom
**Theoretical density**: 18.5 g/cm³
**DFT formation energy**: 0.575 eV per atom
**SG**: No. 221

---

(17)
GeRu3N after structural relaxation, computed with PBEsol.

Geometry as POSCAR:
```
GeRu3N
1.0
3.973 0.000 0.000
0.000 3.973 0.000
0.000 0.000 3.973
Ge Ru N
1 3 1
direct
0.000 0.000 0.000 Ge
0.000 0.500 0.500 Ru
0.500 0.000 0.500 Ru
0.500 0.500 0.000 Ru
0.500 0.500 0.500 N
```

Summary:
**Calculated total energy**: -8.6462 eV/atom
**Theoretical density**: 10.3 g/cm³
**E_form (uncorrected)**: 0.150 eV per atom
**SG**: No. 221

---

(18)
HfCuTe2N after structural relaxation, computed with PBEsol.

Geometry as POSCAR:
```
HfCuTe2N
1.0
5.605 0.000 0.000
0.000 5.605 0.000
0.000 0.000 3.888
Hf Cu Te N
1 1 2 1
direct
0.000 0.000 0.000 Hf
0.500 0.500 0.500 Cu
0.000 0.500 0.000 Te
0.500 0.000 0.000 Te
0.000 0.000 0.500 N
```

Summary:
**Calculated total energy**: -5.7358 eV/atom
**Theoretical density**: 7.0 g/cm³
**E_form (uncorrected)**: 0.347 eV per atom
**SG**: No. 123

---

(19)
BaThO3 after structural relaxation, computed with PBEsol.

Geometry as POSCAR:
```
BaThO3
1.0
6.366 0.000 0.000
0.000 8.941 0.000
0.000 0.000 6.321
Ba Th O
4 4 12
direct
0.032 0.250 0.011 Ba
0.468 0.750 0.511 Ba
0.532 0.250 0.489 Ba
0.968 0.750 0.989 Ba
0.000 0.000 0.500 Th
0.000 0.500 0.500 Th
0.500 0.000 0.000 Th
0.500 0.500 0.000 Th
0.030 0.750 0.407 O
0.214 0.551 0.786 O
0.214 0.949 0.786 O
0.286 0.051 0.286 O
0.286 0.449 0.286 O
0.470 0.250 0.907 O
0.530 0.750 0.093 O
0.714 0.551 0.714 O
0.714 0.949 0.714 O
0.786 0.051 0.214 O
0.786 0.449 0.214 O
0.970 0.250 0.593 O
```

Summary:
**Calculated total energy**: -8.5602 eV/atom
**Theoretical density**: 7.7 g/cm³
**E_form (uncorrected)**: -3.359 eV per atom
**SG**: No. 62

---

(20)
BaCN2 after structural relaxation, computed with PBEsol.

Geometry as POSCAR:
```
BaCN2
1.0
4.273 0.000 0.000
-2.136 3.700 0.000
0.000 0.000 15.345
Ba C N
3 3 6
direct
0.000 0.000 0.000 Ba
0.333 0.667 0.667 Ba
0.667 0.333 0.333 Ba
0.000 0.000 0.500 C
0.333 0.667 0.167 C
0.667 0.333 0.833 C
0.000 0.000 0.419 N
0.000 0.000 0.581 N
0.333 0.667 0.086 N
0.333 0.667 0.247 N
0.667 0.333 0.753 N
0.667 0.333 0.914 N
```

Summary:
**Calculated total energy**: -8.0414 eV/atom
**Theoretical density**: 3.6 g/cm³
**E_form (uncorrected)**: -0.830 eV per atom
**SG**: No. 166